No. 1
The following is a GGA-PBE calculation of an optimized crystal structure of Hf2Ti3H8, from Alexandria via LeMat-Bulk.

Cell: 5.661 5.661 4.501 Å, 110.01 110.01 61.01°
Atoms (fractional coordinates):
Hf1 0.181 0.181 0.162
Hf2 0.819 0.819 0.838
Ti1 0.239 0.761 0.500
Ti2 0.500 0.500 0.000
Ti3 0.761 0.239 0.500
H1 0.148 0.148 0.605
H2 0.165 0.547 0.083
H3 0.384 0.384 0.552
H4 0.453 0.835 0.917
H5 0.547 0.165 0.083
H6 0.616 0.616 0.448
H7 0.835 0.453 0.917
H8 0.852 0.852 0.395

Values from the calculation:
- mass density (Mg/m³) = 7.30
- SG = No. 12
- DFT total energy (eV per atom) = -5.76


No. 2
The following is a GGA-PBE calculation of an optimized crystal structure of HfTiH4, from Alexandria via LeMat-Bulk.

Cell: 3.182 3.182 4.694 Å, 90.00 90.00 94.54°
Atoms (fractional coordinates):
Hf1 0.000 0.000 0.000
Ti1 0.500 0.500 0.500
H1 0.000 0.500 0.267
H2 0.000 0.500 0.733
H3 0.500 0.000 0.267
H4 0.500 0.000 0.733

Values from the calculation:
- mass density (Mg/m³) = 8.08
- SG = No. 65
- DFT total energy (eV per atom) = -5.72


No. 3
The following is a GGA-PBE calculation of an optimized crystal structure of Hf2Ti2H7, from Alexandria via LeMat-Bulk.

Cell: 4.845 4.845 4.039 Å, 90.00 90.00 93.55°
Atoms (fractional coordinates):
Hf1 0.240 0.760 0.000
Hf2 0.760 0.240 0.000
Ti1 0.258 0.258 0.500
Ti2 0.742 0.742 0.500
H1 0.000 0.000 0.266
H2 0.000 0.000 0.734
H3 0.000 0.500 0.272
H4 0.000 0.500 0.728
H5 0.500 0.000 0.272
H6 0.500 0.000 0.728
H7 0.500 0.500 0.000

Values from the calculation:
- mass density (Mg/m³) = 8.07
- SG = No. 65
- DFT total energy (eV per atom) = -5.76


No. 4
The following is a GGA-PBE calculation of an optimized crystal structure of HfTi2H8, from Alexandria via LeMat-Bulk.

Cell: 5.080 5.080 3.249 Å, 95.72 95.72 112.60°
Atoms (fractional coordinates):
Hf1 0.000 0.000 0.000
Ti1 0.330 0.670 0.500
Ti2 0.670 0.330 0.500
H1 0.041 0.301 0.559
H2 0.235 0.765 0.000
H3 0.301 0.041 0.559
H4 0.368 0.368 0.170
H5 0.632 0.632 0.830
H6 0.699 0.959 0.441
H7 0.765 0.235 0.000
H8 0.959 0.699 0.441

Values from the calculation:
- mass density (Mg/m³) = 6.15
- SG = No. 12
- DFT total energy (eV per atom) = -5.05


No. 5
The following is a GGA-PBE calculation of an optimized crystal structure of HfTiH3, from Alexandria via LeMat-Bulk.

Cell: 6.084 5.007 6.211 Å, 90.00 109.85 90.00°
Atoms (fractional coordinates):
Hf1 0.131 0.245 0.130
Hf2 0.131 0.255 0.630
Hf3 0.869 0.745 0.370
Hf4 0.869 0.755 0.870
Ti1 0.379 0.747 0.377
Ti2 0.379 0.753 0.877
Ti3 0.621 0.247 0.123
Ti4 0.621 0.253 0.623
H1 0.076 0.633 0.186
H2 0.076 0.867 0.686
H3 0.322 0.106 0.448
H4 0.322 0.394 0.948
H5 0.394 0.523 0.633
H6 0.394 0.977 0.133
H7 0.606 0.023 0.867
H8 0.606 0.477 0.367
H9 0.678 0.606 0.052
H10 0.678 0.894 0.552
H11 0.924 0.133 0.314
H12 0.924 0.367 0.814

Values from the calculation:
- mass density (Mg/m³) = 8.56
- SG = No. 14
- DFT total energy (eV per atom) = -5.98


No. 6
The following is a GGA-PBE calculation of an optimized crystal structure of Hf2Ti3H5, from Alexandria via LeMat-Bulk.

Cell: 7.155 7.155 7.155 Å, 121.21 77.07 134.87°
Atoms (fractional coordinates):
Hf1 0.193 0.208 0.401
Hf2 0.307 0.708 0.015
Hf3 0.693 0.292 0.985
Hf4 0.807 0.792 0.599
Ti1 0.068 0.837 0.905
Ti2 0.250 0.750 0.500
Ti3 0.432 0.337 0.769
Ti4 0.568 0.663 0.231
Ti5 0.750 0.250 0.500
Ti6 0.932 0.163 0.095
H1 0.063 0.250 0.813
H2 0.125 0.560 0.685
H3 0.250 0.250 0.000
H4 0.375 0.060 0.434
H5 0.437 0.250 0.187
H6 0.563 0.750 0.813
H7 0.625 0.940 0.566
H8 0.750 0.750 0.000
H9 0.875 0.440 0.315
H10 0.937 0.750 0.187

Values from the calculation:
- mass density (Mg/m³) = 7.78
- SG = No. 72
- DFT total energy (eV per atom) = -6.18


No. 7
The following is a GGA-PBE calculation of an optimized crystal structure of Hf2TiH2, from Alexandria via LeMat-Bulk.

Cell: 5.698 5.698 5.698 Å, 121.63 90.41 117.93°
Atoms (fractional coordinates):
Hf1 0.176 0.102 0.278
Hf2 0.324 0.602 0.926
Hf3 0.676 0.398 0.074
Hf4 0.824 0.898 0.722
Ti1 0.250 0.750 0.500
Ti2 0.750 0.250 0.500
H1 0.069 0.723 0.792
H2 0.431 0.223 0.655
H3 0.569 0.777 0.345
H4 0.931 0.277 0.208

Values from the calculation:
- mass density (Mg/m³) = 10.31
- SG = No. 72
- DFT total energy (eV per atom) = -7.06


No. 8
The following is a GGA-PBE calculation of an optimized crystal structure of HfTiH3, from Alexandria via LeMat-Bulk.

Cell: 3.535 3.535 3.535 Å, 90.00 90.00 90.00°
Atoms (fractional coordinates):
Hf1 0.000 0.000 0.000
Ti1 0.500 0.500 0.500
H1 0.000 0.500 0.500
H2 0.500 0.000 0.500
H3 0.500 0.500 0.000

Values from the calculation:
- mass density (Mg/m³) = 8.63
- SG = No. 221
- DFT total energy (eV per atom) = -5.82


No. 9
The following is a GGA-PBE calculation of an optimized crystal structure of HfTiH3, from Alexandria via LeMat-Bulk.

Cell: 3.662 3.662 3.662 Å, 90.00 90.00 90.00°
Atoms (fractional coordinates):
Hf1 0.000 0.000 0.000
Ti1 0.500 0.500 0.500
H1 0.000 0.000 0.500
H2 0.000 0.500 0.000
H3 0.500 0.000 0.000

Values from the calculation:
- mass density (Mg/m³) = 7.75
- SG = No. 221
- DFT total energy (eV per atom) = -5.60


No. 10
The following is a GGA-PBE calculation of an optimized crystal structure of Hf3TiH3, from Alexandria via LeMat-Bulk.

Cell: 6.365 6.365 4.544 Å, 90.00 90.00 105.25°
Atoms (fractional coordinates):
Hf1 0.135 0.865 0.750
Hf2 0.151 0.381 0.750
Hf3 0.381 0.151 0.250
Hf4 0.619 0.849 0.750
Hf5 0.849 0.619 0.250
Hf6 0.865 0.135 0.250
Ti1 0.354 0.646 0.250
Ti2 0.646 0.354 0.750
H1 0.160 0.840 0.250
H2 0.171 0.352 0.250
H3 0.352 0.171 0.750
H4 0.648 0.829 0.250
H5 0.829 0.648 0.750
H6 0.840 0.160 0.750

Values from the calculation:
- mass density (Mg/m³) = 10.96
- SG = No. 63
- DFT total energy (eV per atom) = -7.05